1.
A relaxed structure of Sr3CeNd2Te6, computed with PBE.

Cell: 7.9129 7.9129 8.1147 Å, 99.36 99.36 119.95°
Fractional coordinates of all 12 atoms:
Te1 0.7472 0.7472 0.2414
Te2 0.2528 0.2528 0.7586
Te3 0.0802 0.4138 0.2412
Te4 0.4138 0.0802 0.2412
Te5 0.9198 0.5862 0.7588
Te6 0.5862 0.9198 0.7588
Sr1 0.5000 0.5000 0.5000
Sr2 0.8329 0.1671 0.5000
Sr3 0.1671 0.8329 0.5000
Ce1 0.0000 0.0000 0.0000
Nd1 0.3337 0.6663 0.0000
Nd2 0.6663 0.3337 0.0000

Values from the calculation:
ΔE_f (raw)   -18.45 eV per formula unit
D(E_F)   11.52 states/eV/cell

2.
A relaxed structure of Ce2NdTa, computed with PBE.

Cell: 3.1541 3.1541 12.1460 Å, 82.54 82.54 60.00°
Fractional coordinates of all 4 atoms:
Ta1 0.0000 0.0000 0.0000
Ce1 0.0785 0.0785 0.7645
Ce2 0.9215 0.9215 0.2355
Nd1 0.5000 0.5000 0.5000

Values from the calculation:
D(E_F)   9.92 states/eV/cell
ΔH_f (0 K)   0.52 eV/atom

3.
A relaxed structure of Tb8CeNd4, computed with PBE.

Cell: 7.8274 7.8274 7.8274 Å, 90.15 90.15 90.15°
Fractional coordinates of all 13 atoms:
Nd1 0.5000 0.0000 0.5000
Nd2 0.0000 0.5000 0.5000
Nd3 0.0000 0.0000 0.0000
Nd4 0.5000 0.5000 0.0000
Tb1 0.2407 0.7578 0.2407
Tb2 0.2422 0.7593 0.7593
Tb3 0.7578 0.2407 0.2407
Tb4 0.2412 0.2412 0.2412
Tb5 0.2407 0.2407 0.7578
Tb6 0.7593 0.7593 0.2422
Tb7 0.7593 0.2422 0.7593
Tb8 0.7588 0.7588 0.7588
Ce1 0.5000 0.5000 0.5000

Values from the calculation:
D(E_F)   22.69 states/eV/cell
ΔH_f (0 K)   0.52 eV/atom

4.
A relaxed structure of TbCeNd3, computed with PBE.

Cell: 8.4285 9.6415 9.6415 Å, 59.86 92.24 92.24°
Fractional coordinates of all 20 atoms:
Nd1 0.8987 0.1899 0.6899
Nd2 0.1013 0.8101 0.3101
Nd3 0.5242 0.9185 0.7811
Nd4 0.3987 0.6899 0.1899
Nd5 0.9758 0.5815 0.7189
Nd6 0.4758 0.7189 0.5815
Nd7 0.9758 0.2189 0.0815
Nd8 0.0242 0.7811 0.9185
Nd9 0.4758 0.0815 0.2189
Nd10 0.5242 0.2811 0.4185
Nd11 0.0242 0.4185 0.2811
Nd12 0.6013 0.3101 0.8101
Tb1 0.7500 0.5800 0.4200
Tb2 0.2500 0.0800 0.9200
Tb3 0.2500 0.4200 0.5800
Tb4 0.7500 0.9200 0.0800
Ce1 0.1626 0.0202 0.5202
Ce2 0.3374 0.4798 0.9798
Ce3 0.6626 0.5202 0.0202
Ce4 0.8374 0.9798 0.4798

Values from the calculation:
D(E_F)   41.14 states/eV/cell
ΔH_f (0 K)   0.16 eV/atom

5.
A relaxed structure of Tb4CeNd4, computed with PBE.

Cell: 5.1194 8.0696 8.0696 Å, 84.23 71.51 71.51°
Fractional coordinates of all 9 atoms:
Nd1 0.0000 0.3295 0.6705
Nd2 0.0000 0.6705 0.3295
Nd3 0.3295 0.6705 0.6705
Nd4 0.6705 0.3295 0.3295
Tb1 0.3357 0.0000 0.3285
Tb2 0.6642 0.6715 0.0000
Tb3 0.3358 0.3285 0.0000
Tb4 0.6643 0.0000 0.6715
Ce1 0.0000 0.0000 0.0000

Values from the calculation:
D(E_F)   16.14 states/eV/cell
ΔH_f (0 K)   0.04 eV/atom

6.
A relaxed structure of Tb2CeNd8, computed with PBE.

Cell: 5.7221 8.2661 9.4794 Å, 115.85 107.57 90.00°
Fractional coordinates of all 11 atoms:
Nd1 0.0000 0.7115 0.0000
Nd2 0.6353 0.4271 0.2705
Nd3 0.3647 0.5729 0.7295
Nd4 0.0000 0.2885 0.0000
Nd5 0.1626 0.1626 0.3252
Nd6 0.8374 0.8374 0.6748
Nd7 0.6353 0.8434 0.2705
Nd8 0.3647 0.1566 0.7295
Ce1 0.5000 0.0000 0.0000
Tb1 0.1997 0.6997 0.3994
Tb2 0.8003 0.3003 0.6006

Values from the calculation:
D(E_F)   19.28 states/eV/cell
ΔH_f (0 K)   0.12 eV/atom

7.
A relaxed structure of Tb5CeNd6, computed with PBE.

Cell: 5.1275 10.2173 9.5743 Å, 122.24 105.51 90.04°
Fractional coordinates of all 12 atoms:
Tb1 0.3344 0.8344 0.6687
Tb2 0.6676 0.6676 0.3353
Tb3 0.3324 0.3324 0.6647
Tb4 0.0000 0.5000 0.0000
Tb5 0.6656 0.1656 0.3313
Nd1 0.1651 0.9157 0.3302
Nd2 0.5000 0.7519 0.0000
Nd3 0.8349 0.5856 0.6698
Nd4 0.5000 0.2481 0.0000
Nd5 0.1651 0.4144 0.3302
Nd6 0.8349 0.0843 0.6698
Ce1 0.0000 0.0000 0.0000

Values from the calculation:
D(E_F)   20.70 states/eV/cell
ΔH_f (0 K)   0.04 eV/atom

8.
A relaxed structure of Tb4CeNd15, computed with PBE.

Cell: 5.1707 5.1707 25.7968 Å, 90.00 90.00 90.00°
Fractional coordinates of all 20 atoms:
Nd1 0.0000 0.5000 0.5000
Nd2 0.5000 0.5000 0.5997
Nd3 0.5000 0.0000 0.7001
Nd4 0.0000 0.5000 0.9007
Nd5 0.5000 0.0000 0.0993
Nd6 0.0000 0.5000 0.0993
Nd7 0.5000 0.0000 0.5000
Nd8 0.5000 0.5000 0.4003
Nd9 0.0000 0.5000 0.7001
Nd10 0.5000 0.5000 0.2012
Nd11 0.5000 0.5000 0.0000
Nd12 0.0000 0.5000 0.2999
Nd13 0.5000 0.5000 0.7988
Nd14 0.5000 0.0000 0.9007
Nd15 0.5000 0.0000 0.2999
Ce1 0.0000 0.0000 0.0000
Tb1 0.0000 0.0000 0.1999
Tb2 0.0000 0.0000 0.4000
Tb3 0.0000 0.0000 0.8001
Tb4 0.0000 0.0000 0.6000

Values from the calculation:
D(E_F)   33.39 states/eV/cell
ΔH_f (0 K)   0.03 eV/atom

9.
A relaxed structure of TbCeNd, computed with PBE.

Cell: 6.1479 3.5572 15.5029 Å, 124.88 53.57 89.94°
Fractional coordinates of all 6 atoms:
Tb1 0.0925 0.4601 0.2478
Tb2 0.9437 0.5914 0.9030
Ce1 0.7661 0.7717 0.5736
Ce2 0.2699 0.2799 0.5772
Nd1 0.4510 0.0795 0.8986
Nd2 0.5852 0.9720 0.2522

Values from the calculation:
Energy above the most stable polymorph in this dataset   0.00 eV per formula unit
D(E_F)   13.67 states/eV/cell
ΔH_f (0 K)   0.07 eV/atom

10.
A relaxed structure of Tb4CeNd6, computed with PBE.

Cell: 5.9090 5.6751 26.0255 Å, 90.00 90.00 121.37°
Fractional coordinates of all 22 atoms:
Nd1 0.2047 0.4093 0.8993
Nd2 0.2047 0.4093 0.6007
Nd3 0.1154 0.2309 0.3192
Nd4 0.5548 0.1096 0.7500
Nd5 0.5000 0.0000 0.5000
Nd6 0.5000 0.0000 0.0000
Nd7 0.8846 0.7691 0.8192
Nd8 0.8846 0.7691 0.6808
Nd9 0.4452 0.8904 0.2500
Nd10 0.7953 0.5907 0.1007
Nd11 0.1154 0.2309 0.1808
Nd12 0.7953 0.5907 0.3993
Tb1 0.1487 0.2975 0.0430
Tb2 0.5509 0.1018 0.8765
Tb3 0.5509 0.1018 0.6235
Tb4 0.8513 0.7025 0.5430
Tb5 0.8513 0.7025 0.9570
Tb6 0.4491 0.8982 0.3765
Tb7 0.4491 0.8982 0.1235
Tb8 0.1487 0.2975 0.4570
Ce1 0.7841 0.5683 0.2500
Ce2 0.2159 0.4317 0.7500

Values from the calculation:
D(E_F)   45.47 states/eV/cell
ΔH_f (0 K)   0.14 eV/atom

11.
A relaxed structure of Tb6CeNd3, computed with PBE.

Cell: 6.2154 11.0370 11.0370 Å, 119.26 90.00 90.00°
Fractional coordinates of all 20 atoms:
Tb1 0.3829 0.5431 0.9628
Tb2 0.8829 0.4569 0.0372
Tb3 0.0379 0.7092 0.6186
Tb4 0.8829 0.9628 0.5431
Tb5 0.5379 0.6186 0.7092
Tb6 0.9159 0.0480 0.9520
Tb7 0.3829 0.0372 0.4569
Tb8 0.0379 0.3814 0.2908
Tb9 0.1283 0.7225 0.2775
Tb10 0.4159 0.9520 0.0480
Tb11 0.6283 0.2775 0.7225
Tb12 0.5379 0.2908 0.3814
Nd1 0.4552 0.9418 0.7169
Nd2 0.0660 0.3865 0.6135
Nd3 0.5660 0.6135 0.3865
Nd4 0.9552 0.7169 0.9418
Nd5 0.9552 0.0582 0.2831
Nd6 0.4552 0.2831 0.0581
Ce1 0.6231 0.7964 0.2036
Ce2 0.1231 0.2036 0.7964

Values from the calculation:
Energy above the most stable polymorph in this dataset   0.00 eV per formula unit
D(E_F)   34.57 states/eV/cell
ΔH_f (0 K)   0.16 eV/atom

12.
A relaxed structure of TbCeNd2, computed with PBE.

Cell: 3.4841 3.4841 12.7288 Å, 82.13 82.13 60.00°
Fractional coordinates of all 4 atoms:
Nd1 0.0880 0.0880 0.7359
Nd2 0.9120 0.9120 0.2641
Tb1 0.5000 0.5000 0.5000
Ce1 0.0000 0.0000 0.0000

Values from the calculation:
Energy above the most stable polymorph in this dataset   0.51 eV per formula unit
D(E_F)   8.19 states/eV/cell
ΔH_f (0 K)   0.19 eV/atom

Number 1: mass density 5.81 Mg/m³. Number 2: mass density 9.72 Mg/m³. Number 3: mass density 6.89 Mg/m³. Number 4: mass density 7.18 Mg/m³. Number 5: mass density 7.49 Mg/m³. Number 6: mass density 7.04 Mg/m³. Number 7: mass density 7.43 Mg/m³. Number 8: mass density 7.08 Mg/m³. Number 9: mass density 7.68 Mg/m³. Number 10: mass density 7.32 Mg/m³. Number 11: mass density 7.67 Mg/m³. Number 12: mass density 7.38 Mg/m³.